{"formula": "Ho6InHg2", "functional": "GGA-PBE", "state": "relaxed", "lattice": [[8.742, 0.175, -0.056], [-3.151, 8.157, 0.056], [-3.035, -4.005, 7.156]], "species": ["Ho", "Hg", "In", "In", "Ho", "Ho", "Ho", "Ho", "Hg", "Ho", "Ho", "Ho", "Ho", "Ho", "Hg", "Hg", "Ho", "Ho"], "fractional_positions": [[0.800, 0.753, 0.553], [0.500, 0.362, 0.862], [0.000, 0.000, 0.000], [0.000, 0.500, 0.500], [0.092, 0.272, 0.820], [0.453, 0.272, 0.180], [0.720, 0.043, 0.323], [0.547, 0.728, 0.820], [0.500, 0.638, 0.138], [0.200, 0.247, 0.447], [0.908, 0.728, 0.180], [0.800, 0.247, 0.047], [0.720, 0.397, 0.677], [0.200, 0.753, 0.953], [0.348, 0.000, 0.348], [0.652, 0.000, 0.652], [0.280, 0.957, 0.677], [0.280, 0.603, 0.323]], "e_form_mev_per_atom": -286, "magnetic_moment_mub_per_atom": 0.00}



{"formula": "YMg2W", "functional": "GGA-PBE", "state": "relaxed", "lattice": [[-2.131, 4.155, 2.171], [1.838, -1.454, 4.586], [2.604, 1.613, -0.532]], "species": ["Mg", "Mg", "Y", "W"], "fractional_positions": [[0.000, 0.000, 0.000], [0.500, 0.500, 0.000], [0.000, 0.500, 0.500], [0.500, 0.000, 0.500]], "relative_energy_mev_per_atom": 248, "e_form_mev_per_atom": 593, "magnetic_moment_mub_per_atom": 0.00}



DFT total energy, respectively: -33.4 -20.2 eV/f.u..